# Cu2Ag5O5 PBE optimized geometry
data_Cu2Ag5O5
_chemical_formula_sum 'Cu4 Ag10 O10'
_space_group_name_H-M_alt 'C 1 2/m 1'
_space_group_IT_number 12
_cell_length_a 10.041
_cell_length_b 3.106
_cell_length_c 10.198
_cell_angle_alpha 90.00
_cell_angle_beta 96.99
_cell_angle_gamma 90.00
loop_
_space_group_symop_operation_xyz
'x,y,z'
'-x,-y,-z'
'-x,y,-z'
'x,-y,z'
'x+1/2,y+1/2,z'
'-x+1/2,-y+1/2,-z'
'-x+1/2,y+1/2,-z'
'x+1/2,-y+1/2,z'
loop_
_atom_site_label
_atom_site_fract_x
_atom_site_fract_y
_atom_site_fract_z
Cu1 0.029 0.000 0.314
Ag1 0.000 0.500 0.000
Ag2 0.173 0.500 0.591
Ag3 0.246 0.000 0.127
O1 0.000 0.000 0.500
O2 0.053 0.000 0.862
O3 0.165 0.500 0.305
# Total moment in μB/cell: 2.3
# N(E_F) in states/eV/cell: 18.71
# Volume in Å³ per atom: 13.16
# E_form (uncorrected) in eV/atom: -0.063